No. 1
Here is TaTcNiBi after structural relaxation from OQMD via LeMat-Bulk. Energies are from GGA-PBE.

Cell and atoms, written as POSCAR:
```
TaTcNiBi
1.0
0.000 3.263 3.263
3.263 0.000 3.263
3.263 3.263 0.000
Ni Ta Tc Bi
1 1 1 1
direct
0.750 0.750 0.750 Ni
0.250 0.250 0.250 Ta
0.500 0.500 0.500 Tc
0.000 0.000 0.000 Bi
```

Output
DFT total energy: -7.398 eV/atom

---

No. 2
Here is TbAgPO after structural relaxation from OQMD via LeMat-Bulk. Energies are from GGA-PBE.

Cell and atoms, written as POSCAR:
```
TbAgPO
1.0
-2.070 2.685 -2.081
-3.374 -1.339 1.628
0.868 5.698 6.486
P Tb O Ag
2 2 2 2
direct
0.250 0.250 0.690 P
0.750 0.750 0.310 P
0.250 0.250 0.126 Tb
0.750 0.750 0.874 Tb
0.750 0.250 0.000 O
0.250 0.750 0.000 O
0.750 0.250 0.500 Ag
0.250 0.750 0.500 Ag
```

Output
DFT total energy: -6.035 eV/atom

---

No. 3
Here is PrAlNO after structural relaxation from OQMD via LeMat-Bulk. Energies are from GGA-PBE.

Cell and atoms, written as POSCAR:
```
PrAlNO
1.0
-2.554 0.258 3.785
-1.853 -4.066 -0.973
3.974 -2.493 2.851
O N Al Pr
2 2 2 2
direct
0.250 0.750 0.000 O
0.750 0.250 0.000 O
0.250 0.250 0.648 N
0.750 0.750 0.352 N
0.750 0.750 0.022 Al
0.250 0.250 0.978 Al
0.750 0.250 0.500 Pr
0.250 0.750 0.500 Pr
```

Output
DFT total energy: -6.783 eV/atom

---

No. 4
Here is CsLaGdSe3 after structural relaxation from OQMD via LeMat-Bulk. Energies are from GGA-PBE.

Cell and atoms, written as POSCAR:
```
CsLaGdSe3
1.0
-4.832 -0.914 -7.070
0.261 -0.728 8.578
-3.242 9.884 0.938
Se Cs La Gd
6 2 2 2
direct
0.607 0.393 0.531 Se
0.915 0.085 0.750 Se
0.607 0.393 0.969 Se
0.393 0.607 0.469 Se
0.085 0.915 0.250 Se
0.393 0.607 0.031 Se
0.238 0.762 0.750 Cs
0.762 0.238 0.250 Cs
0.507 0.493 0.250 La
0.493 0.507 0.750 La
0.000 0.000 0.000 Gd
0.000 0.000 0.500 Gd
```

Output
DFT total energy: -5.035 eV/atom

---

No. 5
Here is ReIrNO after structural relaxation from OQMD via LeMat-Bulk. Energies are from GGA-PBE.

Cell and atoms, written as POSCAR:
```
ReIrNO
1.0
-1.373 -2.377 0.000
0.000 0.000 5.674
-5.193 2.998 0.000
Ir N Re O
2 2 2 2
direct
0.500 0.561 0.770 Ir
0.500 0.061 0.230 Ir
0.000 0.808 0.326 N
0.000 0.308 0.674 N
0.000 0.968 0.621 Re
0.000 0.468 0.379 Re
0.500 0.917 0.874 O
0.500 0.417 0.126 O
```

Output
DFT total energy: -8.727 eV/atom

---

No. 6
Here is LiHfGaNi after structural relaxation from OQMD via LeMat-Bulk. Energies are from GGA-PBE.

Cell and atoms, written as POSCAR:
```
LiHfGaNi
1.0
-0.832 -3.940 -1.497
-3.819 -1.820 0.748
-2.795 -0.529 -3.219
Ga Li Ni Hf
1 1 1 1
direct
0.000 0.000 0.000 Ga
0.250 0.250 0.250 Li
0.750 0.750 0.750 Ni
0.500 0.500 0.500 Hf
```

Output
DFT total energy: -5.598 eV/atom

---

- Which formula does entry 2 have?
  TbAgPO